Entry 1:
CeB4Rh8: optimized geometry, PBE.

Calculated values
Volume ... 778.7 Å³/cell
Theoretical density ... 8.586 g/cm³
DFT formation energy ... -0.46 eV per formula unit

a b c (Å): 9.2001 9.2001 9.2001
angles (deg): 90.00 90.00 90.00
Last column: nearest neighbours and their distance in Å.
Space group F-43m (No. 216)
One atom of each set of equivalent atoms:
Ce 0.0000 0.0000 0.0000  4 Rh 2.36
B 0.1163 0.1163 0.3837  6 Rh 2.11-2.21
Rh 0.1129 0.1129 0.6129  3 B 2.11
Rh 0.1480 0.1480 0.1480  3 B 2.21, 1 Ce 2.36

***

Entry 2:
Ho2GaCo5Si2: optimized geometry, PBE.

Calculated values
Volume ... 286.2 Å³/cell
Theoretical density ... 8.709 g/cm³
Raw total energy ... -6.306 eV/atom

a b c (Å): 9.3501 9.3501 3.2731
angles (deg): 90.00 90.00 90.00
Last column: nearest neighbours and their distance in Å.
Space group P4/mbm (No. 127)
One atom of each set of equivalent atoms:
Ho 0.1774 0.3226 0.0000  3 Si 2.69-2.83, 10 Co 2.86-2.97
Ga 0.0000 0.0000 0.0000  8 Co 2.67
Co 0.0000 0.5000 0.5000  4 Si 2.27
Co 0.0653 0.7847 0.5000  2 Si 2.31
Si 0.1193 0.6193 0.0000  6 Co 2.27-2.31